# 1
# PBE KNa4Bi5, relaxed
# spin magnetization = 0.000 μB/f.u.
# formation enthalpy at 0 K = -0.299 eV/atom
# calculated volume = 302.4 Å³ per cell
data_KNa4Bi5
_chemical_formula_sum 'K1 Na4 Bi5'
_space_group_name_H-M_alt 'P 4/m m m'
_space_group_IT_number 123
_space_group_name_Hall '-P 4 2'
_cell_length_a 3.4581
_cell_length_b 3.4581
_cell_length_c 25.2888
_cell_angle_alpha 90.00
_cell_angle_beta 90.00
_cell_angle_gamma 90.00
loop_
_atom_site_label
_atom_site_type_symbol
_atom_site_fract_x
_atom_site_fract_y
_atom_site_fract_z
K1 K 0.0000 0.0000 0.0000
Na1 Na 0.0000 0.0000 0.2081
Na2 Na 0.0000 0.0000 0.4033
Bi1 Bi 0.5000 0.5000 0.1122
Bi2 Bi 0.5000 0.5000 0.3061
Bi3 Bi 0.5000 0.5000 0.5000



# 2
# PBE K3Na2Bi2, relaxed
# spin magnetization = 0.000 μB/f.u.
# formation enthalpy at 0 K = -0.322 eV/atom
# calculated volume = 494.9 Å³ per cell
data_K3Na2Bi2
_chemical_formula_sum 'K6 Na4 Bi4'
_space_group_name_H-M_alt 'C 1 2/m 1'
_space_group_IT_number 12
_space_group_name_Hall '-C 2y'
_cell_length_a 9.9596
_cell_length_b 5.7567
_cell_length_c 9.2526
_cell_angle_alpha 90.00
_cell_angle_beta 111.10
_cell_angle_gamma 90.00
loop_
_atom_site_label
_atom_site_type_symbol
_atom_site_fract_x
_atom_site_fract_y
_atom_site_fract_z
K1 K 0.0000 0.0000 0.0000
K2 K 0.1448 0.0000 0.4332
Na1 Na 0.2154 0.5000 0.1451
Bi1 Bi 0.0806 0.5000 0.7438



# 3
# PBE K2Na5Bi2, relaxed
# spin magnetization = 0.000 μB/f.u.
# formation enthalpy at 0 K = -0.238 eV/atom
# calculated volume = 1313.4 Å³ per cell
data_K2Na5Bi2
_chemical_formula_sum 'K8 Na20 Bi8'
_space_group_name_H-M_alt 'I m a 2'
_space_group_IT_number 46
_space_group_name_Hall 'I 2 -2a'
_cell_length_a 18.8360
_cell_length_b 7.7550
_cell_length_c 8.9912
_cell_angle_alpha 90.00
_cell_angle_beta 90.00
_cell_angle_gamma 90.00
loop_
_atom_site_label
_atom_site_type_symbol
_atom_site_fract_x
_atom_site_fract_y
_atom_site_fract_z
K1 K 0.0970 0.1451 0.0000
Na1 Na 0.0822 0.6559 0.1501
Na2 Na 0.1698 0.0202 0.3442
Na3 Na 0.2500 0.6642 0.4922
Bi1 Bi 0.0000 0.0000 0.3350
Bi2 Bi 0.2500 0.0481 0.6797



# 4
# PBE K3Na4Bi4, relaxed
# spin magnetization = 0.000 μB/f.u.
# formation enthalpy at 0 K = -0.293 eV/atom
# calculated volume = 819.9 Å³ per cell
data_K3Na4Bi4
_chemical_formula_sum 'K6 Na8 Bi8'
_space_group_name_H-M_alt 'I m m m'
_space_group_IT_number 71
_space_group_name_Hall '-I 2 2'
_cell_length_a 5.4846
_cell_length_b 8.2534
_cell_length_c 18.1128
_cell_angle_alpha 90.00
_cell_angle_beta 90.00
_cell_angle_gamma 90.00
loop_
_atom_site_label
_atom_site_type_symbol
_atom_site_fract_x
_atom_site_fract_y
_atom_site_fract_z
K1 K 0.0000 0.0000 0.0000
K2 K 0.0000 0.5000 0.1295
Na1 Na 0.0000 0.2926 0.3233
Bi1 Bi 0.0000 0.0000 0.2013
Bi2 Bi 0.0000 0.1754 0.5000



# 5
# PBE KNaBi2, relaxed
# spin magnetization = 0.000 μB/f.u.
# formation enthalpy at 0 K = -0.150 eV/atom
# calculated volume = 522.5 Å³ per cell
# relative energy among the computed polymorphs = 145 meV per atom
data_KNaBi2
_chemical_formula_sum 'K4 Na4 Bi8'
_space_group_name_H-M_alt 'F m -3 m'
_space_group_IT_number 225
_space_group_name_Hall '-F 4 2 3'
_cell_length_a 8.0545
_cell_length_b 8.0545
_cell_length_c 8.0545
_cell_angle_alpha 90.00
_cell_angle_beta 90.00
_cell_angle_gamma 90.00
loop_
_atom_site_label
_atom_site_type_symbol
_atom_site_fract_x
_atom_site_fract_y
_atom_site_fract_z
K1 K 0.0000 0.0000 0.0000
Na1 Na 0.0000 0.0000 0.5000
Bi1 Bi 0.2500 0.2500 0.2500



# 6
# PBE K3Na2Bi4, relaxed
# spin magnetization = 0.000 μB/f.u.
# formation enthalpy at 0 K = -0.313 eV/atom
# calculated volume = 336.4 Å³ per cell
data_K3Na2Bi4
_chemical_formula_sum 'K3 Na2 Bi4'
_space_group_name_H-M_alt 'P -1'
_space_group_IT_number 2
_space_group_name_Hall '-P 1'
_cell_length_a 5.6567
_cell_length_b 7.2414
_cell_length_c 9.0371
_cell_angle_alpha 81.53
_cell_angle_beta 90.00
_cell_angle_gamma 67.01
loop_
_atom_site_label
_atom_site_type_symbol
_atom_site_fract_x
_atom_site_fract_y
_atom_site_fract_z
K1 K 0.0000 0.0000 0.0000
K2 K 0.4476 0.1036 0.6676
Na1 Na 0.2567 0.4887 0.3383
Bi1 Bi 0.1199 0.7586 0.6317
Bi2 Bi 0.2760 0.4479 0.9335



# 7
# PBE K2Na2Bi, relaxed
# spin magnetization = 0.619 μB/f.u.
# formation enthalpy at 0 K = -0.237 eV/atom
# calculated volume = 846.9 Å³ per cell
# relative energy among the computed polymorphs = 0 meV per atom
data_K2Na2Bi
_chemical_formula_sum 'K8 Na8 Bi4'
_space_group_name_H-M_alt 'C 1 2/c 1'
_space_group_IT_number 15
_space_group_name_Hall '-C 2yc'
_cell_length_a 12.6229
_cell_length_b 7.7719
_cell_length_c 9.1225
_cell_angle_alpha 90.00
_cell_angle_beta 108.86
_cell_angle_gamma 90.00
loop_
_atom_site_label
_atom_site_type_symbol
_atom_site_fract_x
_atom_site_fract_y
_atom_site_fract_z
K1 K 0.1620 0.0928 0.1323
Na1 Na 0.0987 0.3882 0.4710
Bi1 Bi 0.0000 0.2815 0.7500



# 8
# PBE K2NaBi2, relaxed
# spin magnetization = 0.000 μB/f.u.
# formation enthalpy at 0 K = -0.103 eV/atom
# calculated volume = 434.4 Å³ per cell
# relative energy among the computed polymorphs = 213 meV per atom
data_K2NaBi2
_chemical_formula_sum 'K4 Na2 Bi4'
_space_group_name_H-M_alt 'I 4/m m m'
_space_group_IT_number 139
_space_group_name_Hall '-I 4 2'
_cell_length_a 5.2982
_cell_length_b 5.2982
_cell_length_c 15.4745
_cell_angle_alpha 90.00
_cell_angle_beta 90.00
_cell_angle_gamma 90.00
loop_
_atom_site_label
_atom_site_type_symbol
_atom_site_fract_x
_atom_site_fract_y
_atom_site_fract_z
K1 K 0.0000 0.5000 0.2500
Na1 Na 0.0000 0.0000 0.0000
Bi1 Bi 0.0000 0.0000 0.4061